No. 1
# TlPt2Br | Alexandria via LeMat-Bulk | PBE | optimized geometry
# E = -14.53 eV/cell
# energy relative to the lowest polymorph listed for this composition = 323 meV per atom
data_TlPt2Br
_chemical_formula_sum 'Tl1 Pt2 Br1'
_symmetry_space_group_name_H-M 'P 1'
_symmetry_Int_Tables_number 1
_symmetry_space_group_name_Hall 'P 1'
_cell_length_a 3.366
_cell_length_b 3.366
_cell_length_c 8.827
_cell_angle_alpha 90.00
_cell_angle_beta 90.00
_cell_angle_gamma 123.67
loop_
_atom_site_label
_atom_site_fract_x
_atom_site_fract_y
_atom_site_fract_z
Tl1 0.000 0.000 0.000
Pt1 0.500 0.500 0.250
Pt2 0.500 0.500 0.750
Br1 0.000 0.000 0.500


No. 2
# TlPtBr3 | Alexandria via LeMat-Bulk | PBE | optimized geometry
# E = -15.34 eV/cell
# energy relative to the lowest polymorph listed for this composition = 0 meV per atom
data_TlPtBr3
_chemical_formula_sum 'Tl1 Pt1 Br3'
_symmetry_space_group_name_H-M 'P 1'
_symmetry_Int_Tables_number 1
_symmetry_space_group_name_Hall 'P 1'
_cell_length_a 5.237
_cell_length_b 5.237
_cell_length_c 5.237
_cell_angle_alpha 90.00
_cell_angle_beta 90.00
_cell_angle_gamma 90.00
loop_
_atom_site_label
_atom_site_fract_x
_atom_site_fract_y
_atom_site_fract_z
Tl1 0.000 0.000 0.000
Pt1 0.500 0.500 0.500
Br1 0.000 0.500 0.500
Br2 0.500 0.000 0.500
Br3 0.500 0.500 0.000


No. 3
# Tl3PtBr | Alexandria via LeMat-Bulk | PBE | optimized geometry
# E = -31.25 eV/cell
# energy relative to the lowest polymorph listed for this composition = 241 meV per atom
data_Tl3PtBr
_chemical_formula_sum 'Tl6 Pt2 Br2'
_symmetry_space_group_name_H-M 'P 1'
_symmetry_Int_Tables_number 1
_symmetry_space_group_name_Hall 'P 1'
_cell_length_a 3.861
_cell_length_b 8.630
_cell_length_c 10.315
_cell_angle_alpha 90.00
_cell_angle_beta 99.77
_cell_angle_gamma 90.00
loop_
_atom_site_label
_atom_site_fract_x
_atom_site_fract_y
_atom_site_fract_z
Tl1 0.078 0.046 0.149
Tl2 0.078 0.454 0.149
Tl3 0.225 0.250 0.474
Tl4 0.775 0.750 0.526
Tl5 0.922 0.546 0.851
Tl6 0.922 0.954 0.851
Pt1 0.367 0.750 0.728
Pt2 0.633 0.250 0.272
Br1 0.399 0.250 0.792
Br2 0.601 0.750 0.208


No. 4
# Tl3PtBr | Alexandria via LeMat-Bulk | PBE | optimized geometry
# E = -14.69 eV/cell
# energy relative to the lowest polymorph listed for this composition = 428 meV per atom
data_Tl3PtBr
_chemical_formula_sum 'Tl3 Pt1 Br1'
_symmetry_space_group_name_H-M 'P 1'
_symmetry_Int_Tables_number 1
_symmetry_space_group_name_Hall 'P 1'
_cell_length_a 6.617
_cell_length_b 6.617
_cell_length_c 6.617
_cell_angle_alpha 68.16
_cell_angle_beta 68.16
_cell_angle_gamma 68.16
loop_
_atom_site_label
_atom_site_fract_x
_atom_site_fract_y
_atom_site_fract_z
Tl1 0.173 0.173 0.654
Tl2 0.173 0.654 0.173
Tl3 0.654 0.173 0.173
Pt1 0.896 0.896 0.896
Br1 0.161 0.161 0.161


No. 5
# TlPt2Br | Alexandria via LeMat-Bulk | PBE | optimized geometry
# E = -15.52 eV/cell
# energy relative to the lowest polymorph listed for this composition = 75 meV per atom
data_TlPt2Br
_chemical_formula_sum 'Tl1 Pt2 Br1'
_symmetry_space_group_name_H-M 'P 1'
_symmetry_Int_Tables_number 1
_symmetry_space_group_name_Hall 'P 1'
_cell_length_a 7.334
_cell_length_b 7.334
_cell_length_c 7.334
_cell_angle_alpha 31.27
_cell_angle_beta 31.27
_cell_angle_gamma 31.27
loop_
_atom_site_label
_atom_site_fract_x
_atom_site_fract_y
_atom_site_fract_z
Tl1 0.000 0.000 0.000
Pt1 0.257 0.257 0.257
Pt2 0.526 0.526 0.526
Br1 0.793 0.793 0.793


No. 6
# Tl3PtBr | Alexandria via LeMat-Bulk | PBE | optimized geometry
# E = -15.27 eV/cell
# energy relative to the lowest polymorph listed for this composition = 312 meV per atom
data_Tl3PtBr
_chemical_formula_sum 'Tl3 Pt1 Br1'
_symmetry_space_group_name_H-M 'P 1'
_symmetry_Int_Tables_number 1
_symmetry_space_group_name_Hall 'P 1'
_cell_length_a 5.349
_cell_length_b 5.349
_cell_length_c 7.197
_cell_angle_alpha 90.00
_cell_angle_beta 90.00
_cell_angle_gamma 90.00
loop_
_atom_site_label
_atom_site_fract_x
_atom_site_fract_y
_atom_site_fract_z
Tl1 0.000 0.000 0.000
Tl2 0.000 0.500 0.696
Tl3 0.500 0.000 0.696
Pt1 0.500 0.500 0.728
Br1 0.000 0.000 0.402


No. 7
# Tl3PtBr | Alexandria via LeMat-Bulk | PBE | optimized geometry
# E = -28.87 eV/cell
# energy relative to the lowest polymorph listed for this composition = 479 meV per atom
data_Tl3PtBr
_chemical_formula_sum 'Tl6 Pt2 Br2'
_symmetry_space_group_name_H-M 'P 1'
_symmetry_Int_Tables_number 1
_symmetry_space_group_name_Hall 'P 1'
_cell_length_a 12.564
_cell_length_b 12.564
_cell_length_c 12.564
_cell_angle_alpha 154.55
_cell_angle_beta 154.55
_cell_angle_gamma 36.30
loop_
_atom_site_label
_atom_site_fract_x
_atom_site_fract_y
_atom_site_fract_z
Tl1 0.173 0.173 0.000
Tl2 0.371 0.618 0.754
Tl3 0.382 0.136 0.754
Tl4 0.382 0.629 0.246
Tl5 0.827 0.827 0.000
Tl6 0.864 0.618 0.246
Pt1 0.641 0.141 0.500
Pt2 0.859 0.359 0.500
Br1 0.250 0.750 0.500
Br2 0.500 0.500 0.000


No. 8
# TlPt2Br | Alexandria via LeMat-Bulk | PBE | optimized geometry
# E = -15.82 eV/cell
# energy relative to the lowest polymorph listed for this composition = 0 meV per atom
data_TlPt2Br
_chemical_formula_sum 'Tl1 Pt2 Br1'
_symmetry_space_group_name_H-M 'P 1'
_symmetry_Int_Tables_number 1
_symmetry_space_group_name_Hall 'P 1'
_cell_length_a 5.144
_cell_length_b 5.144
_cell_length_c 7.217
_cell_angle_alpha 121.88
_cell_angle_beta 121.88
_cell_angle_gamma 40.55
loop_
_atom_site_label
_atom_site_fract_x
_atom_site_fract_y
_atom_site_fract_z
Tl1 0.000 0.000 0.000
Pt1 0.341 0.341 0.157
Pt2 0.659 0.659 0.843
Br1 0.000 0.000 0.500